LaTbBiTe | PBE-GGA | optimized geometry

Properties
**E_tot**: -21.5 eV per cell
**Calculated volume**: 132.4 Å³/cell
**SG**: R3m (160)
**Uncorrected formation energy**: -1.23 eV per atom
**N(E_F)**: 2.05 states/eV/cell

Unit cell a=7.8398 b=7.8398 c=7.8398 alpha=33.74 beta=33.74 gamma=33.74
Closest atoms and distances in Å follow each position.
Element x y z (fractional)
La (0.0000, 0.0000, 0.0000)  3 Bi 3.26, 3 Te 3.28
Tb (0.5004, 0.5004, 0.5004)  3 Te 3.15, 3 Bi 3.16
Bi (0.2460, 0.2460, 0.2460)  3 Tb 3.16, 3 La 3.26
Te (0.7550, 0.7550, 0.7550)  3 Tb 3.15, 3 La 3.28

***

LaTb2ThBi4 | PBE-GGA | optimized geometry

Properties
**E_tot**: -44.0 eV per cell
**Calculated volume**: 269.9 Å³/cell
**ΔE_f**: -6.9 eV/f.u.
**SG**: P2/m (10)
**N(E_F)**: 1.85 states/eV/cell

Unit cell a=7.8805 b=4.5793 c=7.9345 alpha=90.00 beta=109.52 gamma=90.00
Closest atoms and distances in Å follow each position.
Element x y z (fractional)
La (0.0000, 0.0000, 0.0000)  6 Bi 3.28
Tb (0.5000, 0.0000, 0.5000)  6 Bi 3.18
Tb (0.5000, 0.5000, 0.0000)  6 Bi 3.20-3.21
Th (0.0000, 0.5000, 0.5000)  6 Bi 3.25-3.26
Bi (0.2587, 0.0000, 0.7505)  3 Tb 3.18-3.20, 2 Th 3.26, 1 La 3.28
Bi (0.2597, 0.5000, 0.2561)  3 Tb 3.18-3.21, 1 Th 3.25, 2 La 3.28
Bi (0.7403, 0.5000, 0.7439)  3 Tb 3.18-3.21, 1 Th 3.25, 2 La 3.28
Bi (0.7413, 0.0000, 0.2495)  3 Tb 3.18-3.20, 2 Th 3.26, 1 La 3.28

***

La2TbThBi4 | PBE-GGA | optimized geometry

Properties
**E_tot**: -44.7 eV per cell
**Calculated volume**: 279.8 Å³/cell
**ΔE_f**: -7.3 eV/f.u.
**SG**: P2/m (10)
**N(E_F)**: 1.89 states/eV/cell

Unit cell a=7.9878 b=4.6274 c=8.0277 alpha=90.00 beta=109.44 gamma=90.00
Closest atoms and distances in Å follow each position.
Element x y z (fractional)
La (0.0000, 0.0000, 0.0000)  6 Bi 3.30
La (0.5000, 0.5000, 0.0000)  6 Bi 3.32
Tb (0.0000, 0.5000, 0.5000)  6 Bi 3.22
Th (0.5000, 0.0000, 0.5000)  6 Bi 3.24-3.25
Bi (0.2441, 0.0000, 0.7400)  2 Tb 3.22, 1 Th 3.24, 3 La 3.30-3.32
Bi (0.2495, 0.5000, 0.2576)  1 Tb 3.22, 2 Th 3.25, 3 La 3.30-3.32
Bi (0.7505, 0.5000, 0.7424)  1 Tb 3.22, 2 Th 3.25, 3 La 3.30-3.32
Bi (0.7559, 0.0000, 0.2600)  2 Tb 3.22, 1 Th 3.24, 3 La 3.30-3.32

***

N(E_F) of number 2 (LaTb2ThBi4)? 1.85 states/eV/cell

***

Which value of calculated volume does entry 3 give? 279.8 Å³/cell